[1]
The following is a PBEsol calculation of a geometry-optimized Rb4GeO4 structure, from the Alexandria database.

Results
total moment: 0.0 μB per cell
E_form (uncorrected): -1.625 eV/atom
E: -4.9623 eV/atom
D(E_F): 0.000 states/eV per atom

abc: 10.9230 6.7732 10.8246
angles: 90.00 111.98 90.00
Space group P2_1/c (No. 14)
Asymmetric unit:
Rb 0.0655 0.0866 0.2029 [4 per cell]
Rb 0.1571 0.6127 0.0796 [4 per cell]
Rb 0.3720 0.6710 0.8908 [4 per cell]
Rb 0.4205 0.1856 0.7910 [4 per cell]
Ge 0.2397 0.1280 0.9882 [4 per cell]
O 0.0849 0.2329 0.9723 [4 per cell]
O 0.2151 0.5057 0.3388 [4 per cell]
O 0.3060 0.5284 0.6321 [4 per cell]
O 0.3537 0.1726 0.5077 [4 per cell]


[2]
The following is a PBEsol calculation of a geometry-optimized Rb6Ge2O7 structure, from the Alexandria database.

Results
total moment: 0.0 μB per cell
E_form (uncorrected): -1.695 eV/atom
E: -5.2130 eV/atom
D(E_F): 0.000 states/eV per atom

abc: 6.7889 9.3905 11.4870
angles: 90.00 124.52 90.00
Space group P2_1/c (No. 14)
Asymmetric unit:
Rb 0.0391 0.1472 0.4189 [4 per cell]
Rb 0.2072 0.5267 0.4555 [4 per cell]
Rb 0.3993 0.2133 0.2795 [4 per cell]
Ge 0.3201 0.6395 0.8710 [4 per cell]
O 0.0623 0.6615 0.8711 [4 per cell]
O 0.2551 0.5846 0.7064 [4 per cell]
O 0.4917 0.2100 0.0651 [4 per cell]
O 0.5000 0.0000 0.5000 [2 per cell]


[3]
The following is a PBEsol calculation of a geometry-optimized Rb2GeS6O21 structure, from the Alexandria database.

Results
total moment: 0.0 μB per cell
E_form (uncorrected): -1.445 eV/atom
E: -6.2297 eV/atom
D(E_F): 0.000 states/eV per atom

abc: 9.7484 9.7484 11.2842
angles: 90.00 90.00 120.00
Space group P-3 (No. 147)
Asymmetric unit:
Rb 0.3333 0.6667 0.3798 [2 per cell]
Rb 0.3333 0.6667 0.9456 [2 per cell]
Ge 0.0000 0.0000 0.2528 [2 per cell]
S 0.0785 0.7419 0.1619 [6 per cell]
S 0.1596 0.3454 0.6596 [6 per cell]
O 0.0119 0.6768 0.2966 [6 per cell]
O 0.0149 0.3784 0.9224 [6 per cell]
O 0.0503 0.8803 0.1477 [6 per cell]
O 0.0529 0.8790 0.6463 [6 per cell]
O 0.1541 0.7269 0.7510 [6 per cell]
O 0.1792 0.4139 0.5448 [6 per cell]
O 0.2098 0.4525 0.1735 [6 per cell]


[4]
The following is a PBEsol calculation of a geometry-optimized GeRuO3 structure, from the Alexandria database.

Results
total moment: 4.0 μB per cell
E_form (uncorrected): -0.364 eV/atom
E: -6.5355 eV/atom
D(E_F): 0.702 states/eV per atom

abc: 3.7271 3.7271 3.7271
angles: 90.00 90.00 90.00
Space group Pm-3m (No. 221)
Asymmetric unit:
Ge 0.0000 0.0000 0.0000 [1 per cell]
Ru 0.5000 0.5000 0.5000 [1 per cell]
O 0.0000 0.0000 0.5000 [3 per cell]


[5]
The following is a PBEsol calculation of a geometry-optimized GeRu3O structure, from the Alexandria database.

Results
total moment: 0.0 μB per cell
E_form (uncorrected): 0.267 eV/atom
E: -7.8745 eV/atom
D(E_F): 0.722 states/eV per atom

abc: 3.9976 3.9976 3.9976
angles: 90.00 90.00 90.00
Space group Pm-3m (No. 221)
Asymmetric unit:
Ge 0.0000 0.0000 0.0000 [1 per cell]
Ru 0.0000 0.5000 0.5000 [3 per cell]
O 0.5000 0.5000 0.5000 [1 per cell]


[6]
The following is a PBEsol calculation of a geometry-optimized Sr2GeS8O28 structure, from the Alexandria database.

Results
total moment: 0.0 μB per cell
E_form (uncorrected): -1.578 eV/atom
E: -6.4674 eV/atom
D(E_F): 0.000 states/eV per atom

abc: 6.9952 13.1004 13.3729
angles: 90.00 113.93 90.00
Space group P2_1/c (No. 14)
Asymmetric unit:
Sr 0.1442 0.1362 0.3411 [4 per cell]
Ge 0.5000 0.0000 0.0000 [2 per cell]
S 0.2190 0.1513 0.0603 [4 per cell]
S 0.2340 0.0830 0.7705 [4 per cell]
S 0.3144 0.5290 0.1038 [4 per cell]
S 0.3738 0.7204 0.4110 [4 per cell]
O 0.0417 0.0305 0.7506 [4 per cell]
O 0.1181 0.2326 0.9859 [4 per cell]
O 0.1350 0.1207 0.1365 [4 per cell]
O 0.1877 0.6038 0.1279 [4 per cell]
O 0.1876 0.7367 0.3148 [4 per cell]
O 0.2367 0.0070 0.4928 [4 per cell]
O 0.2475 0.1886 0.8014 [4 per cell]
O 0.2522 0.0607 0.9981 [4 per cell]
O 0.2822 0.0827 0.6658 [4 per cell]
O 0.3552 0.6259 0.4719 [4 per cell]
O 0.4215 0.0229 0.8505 [4 per cell]
O 0.4566 0.1865 0.1395 [4 per cell]
O 0.4633 0.0455 0.3422 [4 per cell]
O 0.4630 0.6968 0.9850 [4 per cell]


[7]
The following is a PBEsol calculation of a geometry-optimized Sc2GeO5 structure, from the Alexandria database.

Results
total moment: 0.0 μB per cell
E_form (uncorrected): -2.906 eV/atom
E: -8.4557 eV/atom
D(E_F): 0.000 states/eV per atom

abc: 10.9136 10.4649 10.6260
angles: 90.00 93.31 90.00
Space group C2/c (No. 15)
Asymmetric unit:
Sc 0.0108 0.1402 0.4298 [8 per cell]
Sc 0.1554 0.3518 0.9384 [8 per cell]
Sc 0.1762 0.3154 0.2448 [8 per cell]
Ge 0.0000 0.1456 0.7500 [4 per cell]
Ge 0.1675 0.3918 0.5437 [8 per cell]
O 0.0000 0.2364 0.2500 [4 per cell]
O 0.0123 0.0484 0.6144 [8 per cell]
O 0.0306 0.3053 0.5479 [8 per cell]
O 0.1378 0.2321 0.7798 [8 per cell]
O 0.1542 0.4564 0.1137 [8 per cell]
O 0.1663 0.2031 0.0750 [8 per cell]
O 0.1756 0.4539 0.3873 [8 per cell]
O 0.1960 0.1797 0.3971 [8 per cell]


[8]
The following is a PBEsol calculation of a geometry-optimized ScGe2WO structure, from the Alexandria database.

Results
total moment: 0.0 μB per cell
E_form (uncorrected): -0.297 eV/atom
E: -7.4054 eV/atom
D(E_F): 0.521 states/eV per atom

abc: 4.5824 4.5824 3.8146
angles: 90.00 90.00 90.00
Space group P4/mmm (No. 123)
Asymmetric unit:
Sc 0.0000 0.0000 0.0000 [1 per cell]
Ge 0.0000 0.5000 0.5000 [2 per cell]
W 0.5000 0.5000 0.0000 [1 per cell]
O 0.5000 0.5000 0.5000 [1 per cell]